{"formula": "Ba5NaSr", "functional": "GGA-PBE", "state": "optimized geometry", "lattice": [[-6.076, -1.455, -0.648], [1.267, -5.963, 1.514], [-1.707, 2.358, 10.712]], "species": ["Ba", "Sr", "Ba", "Ba", "Ba", "Na", "Ba"], "fractional_positions": [[0.000, 0.500, 0.208], [0.000, 0.000, 0.500], [0.500, 0.000, 0.208], [0.000, 0.500, 0.792], [0.500, 0.000, 0.792], [0.500, 0.500, 0.000], [0.500, 0.500, 0.500]], "total_energy_ev_per_atom": -1.706, "polymorph_energy_kj_per_mol_fu": 0, "sg": "P4/mmm", "delta_e_f_ev_per_fu": 0.67}